No. 1
# Li2LaAl2 (GGA-PBE, relaxed)
# Energy above the most stable polymorph in this dataset (meV/atom): 11
# DFT total energy (eV/atom): -3.393
# Energy of formation from the pure elements (eV/atom): -0.1449
# Volume (Å³ per cell): 115.94
data_Li2LaAl2
_symmetry_space_group_name_H-M 'P 1'
_symmetry_Int_Tables_number 1
_cell_length_a 6.863
_cell_length_b 6.863
_cell_length_c 6.863
_cell_angle_alpha 143.08
_cell_angle_beta 143.08
_cell_angle_gamma 53.21
loop_
_symmetry_equiv_pos_as_xyz
'x,y,z'
loop_
_atom_site_label
_atom_site_fract_x
_atom_site_fract_y
_atom_site_fract_z
Li1 0.250 0.750 0.500
Li2 0.750 0.250 0.500
La1 0.000 0.000 0.000
Al1 0.396 0.396 0.000
Al2 0.604 0.604 0.000



No. 2
# V6CrPd12 (GGA-PBE, relaxed)
# DFT total energy (eV/atom): -6.785
# Energy of formation from the pure elements (eV/atom): -0.1194
# Volume (Å³ per cell): 282.25
data_V6CrPd12
_symmetry_space_group_name_H-M 'P 1'
_symmetry_Int_Tables_number 1
_cell_length_a 6.563
_cell_length_b 6.563
_cell_length_c 6.563
_cell_angle_alpha 88.04
_cell_angle_beta 88.04
_cell_angle_gamma 88.04
loop_
_symmetry_equiv_pos_as_xyz
'x,y,z'
loop_
_atom_site_label
_atom_site_fract_x
_atom_site_fract_y
_atom_site_fract_z
V1 0.233 0.389 0.753
V2 0.247 0.767 0.611
V3 0.389 0.753 0.233
V4 0.611 0.247 0.767
V5 0.753 0.233 0.389
V6 0.767 0.611 0.247
Cr1 0.500 0.500 0.500
Pd1 0.033 0.931 0.302
Pd2 0.069 0.698 0.967
Pd3 0.131 0.473 0.346
Pd4 0.302 0.033 0.931
Pd5 0.346 0.131 0.473
Pd6 0.473 0.346 0.131
Pd7 0.527 0.654 0.869
Pd8 0.654 0.869 0.527
Pd9 0.698 0.967 0.069
Pd10 0.869 0.527 0.654
Pd11 0.931 0.302 0.033
Pd12 0.967 0.069 0.698



No. 3
# Sm5Y12Er (GGA-PBE, relaxed)
# DFT total energy (eV/atom): -5.853
# Energy of formation from the pure elements (eV/atom): 0.0212
# Volume (Å³ per cell): 585.47
data_Sm5Y12Er
_symmetry_space_group_name_H-M 'P 1'
_symmetry_Int_Tables_number 1
_cell_length_a 10.743
_cell_length_b 5.068
_cell_length_c 10.753
_cell_angle_alpha 90.00
_cell_angle_beta 90.10
_cell_angle_gamma 90.00
loop_
_symmetry_equiv_pos_as_xyz
'x,y,z'
loop_
_atom_site_label
_atom_site_fract_x
_atom_site_fract_y
_atom_site_fract_z
Sm1 0.000 0.000 0.000
Sm2 0.167 0.500 0.833
Sm3 0.334 0.000 0.666
Sm4 0.666 0.000 0.334
Sm5 0.833 0.500 0.167
Y1 0.000 0.000 0.334
Y2 0.000 0.000 0.666
Y3 0.167 0.500 0.167
Y4 0.168 0.500 0.500
Y5 0.334 0.000 0.000
Y6 0.334 0.000 0.334
Y7 0.500 0.500 0.168
Y8 0.500 0.500 0.832
Y9 0.666 0.000 0.000
Y10 0.666 0.000 0.666
Y11 0.832 0.500 0.500
Y12 0.833 0.500 0.833
Er1 0.500 0.500 0.500



No. 4
# Bi2AuCl (GGA-PBE, relaxed)
# Energy above the most stable polymorph in this dataset (meV/atom): 206
# DFT total energy (eV/atom): -3.315
# Formation energy (no corrections) (meV per atom): -94
# Volume (Å³ per cell): 97.58
data_Bi2AuCl
_symmetry_space_group_name_H-M 'P 1'
_symmetry_Int_Tables_number 1
_cell_length_a 5.168
_cell_length_b 5.168
_cell_length_c 5.168
_cell_angle_alpha 60.00
_cell_angle_beta 60.00
_cell_angle_gamma 60.00
loop_
_symmetry_equiv_pos_as_xyz
'x,y,z'
loop_
_atom_site_label
_atom_site_fract_x
_atom_site_fract_y
_atom_site_fract_z
Bi1 0.250 0.250 0.250
Bi2 0.750 0.750 0.750
Au1 0.000 0.000 0.000
Cl1 0.500 0.500 0.500



No. 5
# TlTe2I4 (GGA-PBE, relaxed)
# DFT total energy (eV/atom): -2.302
# Formation energy (no corrections) (meV per atom): -180
# Volume (Å³ per cell): 656.87
data_TlTe2I4
_symmetry_space_group_name_H-M 'P 1'
_symmetry_Int_Tables_number 1
_cell_length_a 9.308
_cell_length_b 9.308
_cell_length_c 9.674
_cell_angle_alpha 107.61
_cell_angle_beta 107.59
_cell_angle_gamma 111.60
loop_
_symmetry_equiv_pos_as_xyz
'x,y,z'
loop_
_atom_site_label
_atom_site_fract_x
_atom_site_fract_y
_atom_site_fract_z
Tl1 0.000 0.000 0.000
Tl2 0.251 0.751 0.500
Te1 0.086 0.228 0.556
Te2 0.472 0.331 0.557
Te3 0.670 0.530 0.443
Te4 0.774 0.916 0.443
I1 0.283 0.138 0.786
I2 0.352 0.498 0.214
I3 0.374 0.013 0.278
I4 0.504 0.650 0.787
I5 0.733 0.096 0.722
I6 0.864 0.718 0.214
I7 0.905 0.268 0.277
I8 0.989 0.628 0.722



No. 6
# Ba3Cd2Au (GGA-PBE, relaxed)
# DFT total energy (eV/atom): -2.238
# Energy of formation from the pure elements (eV/atom): -0.4252
# Volume (Å³ per cell): 438.52
data_Ba3Cd2Au
_symmetry_space_group_name_H-M 'P 1'
_symmetry_Int_Tables_number 1
_cell_length_a 9.360
_cell_length_b 9.360
_cell_length_c 8.351
_cell_angle_alpha 90.00
_cell_angle_beta 90.00
_cell_angle_gamma 143.18
loop_
_symmetry_equiv_pos_as_xyz
'x,y,z'
loop_
_atom_site_label
_atom_site_fract_x
_atom_site_fract_y
_atom_site_fract_z
Ba1 0.000 0.000 0.243
Ba2 0.000 0.000 0.757
Ba3 0.329 0.671 0.236
Ba4 0.329 0.671 0.764
Ba5 0.671 0.329 0.236
Ba6 0.671 0.329 0.764
Cd1 0.166 0.834 0.500
Cd2 0.500 0.500 0.000
Cd3 0.500 0.500 0.500
Cd4 0.834 0.166 0.500
Au1 0.160 0.840 0.000
Au2 0.840 0.160 0.000



Number 1: DOS(E_F) 0.8563 states/eV per atom. Number 2: DOS(E_F) 1.1923 states/eV per atom. Number 3: DOS(E_F) 1.4937 states/eV per atom. Number 4: DOS(E_F) 0.3833 states/eV per atom. Number 5: DOS(E_F) 0.6114 states/eV per atom. Number 6: DOS(E_F) 1.0550 states/eV per atom.